meta-GGA SCAN PmCdPd2, PBEsol geometry; formation enthalpy at 0 K = -0.70 eV per atom; crystal system = cubic; space group = Fm-3m (225); magnetization = 0.0 μB/f.u.; total energy = -35.69 eV/atom
1.0
4.782 0.000 0.000
2.391 4.141 0.000
2.391 1.380 3.904
Cd Pm Pd
1 1 2
Direct
0.500 0.500 0.500
0.000 0.000 0.000
0.250 0.250 0.250
0.750 0.750 0.750